The following is a PBE calculation of crystalline Pm4PbSe5 at its relaxed geometry, from Alexandria via LeMat-Bulk.

a b c (Å): 4.2347 4.2347 52.2883
angles (deg): 90.00 90.00 120.00
Last column: nearest neighbours and their distance in Å.
Space group R-3m (No. 166, hexagonal axes)
Asymmetric unit:
Pm  0.0000  0.0000  0.0950 [6 per cell]  6 Se 2.92-3.06
Pm  0.0000  0.0000  0.2999 [6 per cell]  6 Se 2.94-3.01
Pb  0.0000  0.0000  0.5000 [3 per cell]  6 Se 3.10
Se  0.0000  0.0000  0.0000 [3 per cell]  6 Pm 3.01
Se  0.0000  0.0000  0.2031 [6 per cell]  3 Pm 3.06, 3 Pb 3.10
Se  0.0000  0.0000  0.3979 [6 per cell]  6 Pm 2.92-2.94

Properties
crystal system: trigonal
N(E_F): 3.88 states/eV/f.u.
formation energy (no corrections): -1.55 eV/atom